Model A:
Pm2Dy8Ho3: relaxed, PBE-GGA.

- DOS(E_F) (states/eV/cell) = 39.034
- symmetry = P2_1/c (14)

abc: 3.502 11.701 20.637
angles: 90.00 90.03 90.00
Atoms (fractional coordinates):
Pm (0.002, 0.180, 0.099)
Pm (0.002, 0.320, 0.599)
Pm (0.998, 0.680, 0.401)
Pm (0.998, 0.820, 0.901)
Dy (0.000, 0.046, 0.572)
Dy (0.000, 0.454, 0.072)
Dy (0.000, 0.546, 0.928)
Dy (0.000, 0.954, 0.428)
Dy (0.001, 0.127, 0.285)
Dy (0.001, 0.373, 0.785)
Dy (0.496, 0.053, 0.842)
Dy (0.496, 0.447, 0.342)
Dy (0.500, 0.208, 0.447)
Dy (0.500, 0.292, 0.947)
Dy (0.500, 0.708, 0.053)
Dy (0.500, 0.792, 0.553)
Dy (0.504, 0.553, 0.658)
Dy (0.504, 0.947, 0.158)
Dy (0.999, 0.627, 0.215)
Dy (0.999, 0.873, 0.715)
Ho (0.498, 0.645, 0.799)
Ho (0.498, 0.855, 0.299)
Ho (0.500, 0.000, 0.000)
Ho (0.500, 0.500, 0.500)
Ho (0.502, 0.145, 0.701)
Ho (0.502, 0.355, 0.201)

---

Model B:
Pm2Dy8Ho3: relaxed, PBE-GGA.

- DOS(E_F) (states/eV/cell) = 22.421
- symmetry = Cmmm (65)

abc: 10.977 10.977 5.550
angles: 90.00 90.00 139.48
Atoms (fractional coordinates):
Pm (0.241, 0.759, 0.000)
Pm (0.759, 0.241, 0.000)
Dy (0.130, 0.870, 0.500)
Dy (0.181, 0.394, 0.000)
Dy (0.337, 0.663, 0.500)
Dy (0.394, 0.181, 0.000)
Dy (0.606, 0.819, 0.000)
Dy (0.663, 0.337, 0.500)
Dy (0.819, 0.606, 0.000)
Dy (0.870, 0.130, 0.500)
Ho (0.000, 0.000, 0.000)
Ho (0.286, 0.286, 0.500)
Ho (0.714, 0.714, 0.500)

---

Which of them is the least stable? Correct choice: model B.

---

Model A:
PmDy2Ho7: relaxed, PBE-GGA.

- DOS(E_F) (states/eV/cell) = 14.205
- symmetry = P-1 (2)

abc: 6.129 6.133 9.353
angles: 102.56 109.06 99.53
Atoms (fractional coordinates):
Pm (0.000, 0.000, 0.000)
Dy (0.400, 0.501, 0.301)
Dy (0.600, 0.499, 0.699)
Ho (0.000, 0.500, 0.500)
Ho (0.200, 0.000, 0.401)
Ho (0.201, 0.500, 0.900)
Ho (0.399, 0.999, 0.798)
Ho (0.601, 0.001, 0.202)
Ho (0.799, 0.500, 0.100)
Ho (0.800, 0.000, 0.599)

---

Model B:
PmDy2Ho7: relaxed, PBE-GGA.

- DOS(E_F) (states/eV/cell) = 14.898
- symmetry = Cmmm (65)

abc: 9.202 9.202 5.536
angles: 90.00 90.00 123.71
Atoms (fractional coordinates):
Pm (0.000, 0.000, 0.000)
Dy (0.297, 0.703, 0.500)
Dy (0.703, 0.297, 0.500)
Ho (0.063, 0.291, 0.500)
Ho (0.212, 0.788, 0.000)
Ho (0.291, 0.063, 0.500)
Ho (0.500, 0.500, 0.500)
Ho (0.709, 0.937, 0.500)
Ho (0.788, 0.212, 0.000)
Ho (0.937, 0.709, 0.500)

---

Which of them is the least stable? Correct choice: model B.

---

Model A:
PmDy3Ho2: relaxed, PBE-GGA.

- DOS(E_F) (states/eV/cell) = 19.106
- symmetry = C2/m (12)

abc: 11.129 11.129 11.290
angles: 120.46 120.46 18.79
Atoms (fractional coordinates):
Pm (0.111, 0.111, 0.486)
Pm (0.889, 0.889, 0.514)
Dy (0.112, 0.112, 0.986)
Dy (0.222, 0.222, 0.345)
Dy (0.445, 0.445, 0.822)
Dy (0.555, 0.555, 0.178)
Dy (0.778, 0.778, 0.655)
Dy (0.888, 0.888, 0.014)
Ho (0.223, 0.223, 0.849)
Ho (0.443, 0.443, 0.316)
Ho (0.557, 0.557, 0.684)
Ho (0.777, 0.777, 0.151)

---

Model B:
PmDy3Ho2: relaxed, PBE-GGA.

- DOS(E_F) (states/eV/cell) = 14.859
- symmetry = P-1 (2)

abc: 7.155 7.165 8.824
angles: 78.25 78.28 60.09
Atoms (fractional coordinates):
Pm (0.250, 0.250, 0.000)
Pm (0.750, 0.750, 0.000)
Dy (0.139, 0.139, 0.665)
Dy (0.250, 0.750, 0.000)
Dy (0.361, 0.861, 0.336)
Dy (0.639, 0.139, 0.664)
Dy (0.750, 0.250, 0.000)
Dy (0.861, 0.861, 0.335)
Ho (0.140, 0.639, 0.664)
Ho (0.361, 0.362, 0.335)
Ho (0.639, 0.638, 0.665)
Ho (0.860, 0.361, 0.336)

---

Which of them is the least stable? Correct choice: model A.

---

Model A:
PmDyHo3: relaxed, PBE-GGA.

- DOS(E_F) (states/eV/cell) = 16.131
- symmetry = P2_1/m (11)

abc: 6.285 5.647 9.593
angles: 90.00 109.10 90.00
Atoms (fractional coordinates):
Pm (0.068, 0.250, 0.300)
Pm (0.932, 0.750, 0.700)
Dy (0.467, 0.250, 0.100)
Dy (0.533, 0.750, 0.900)
Ho (0.135, 0.750, 0.099)
Ho (0.267, 0.250, 0.701)
Ho (0.336, 0.750, 0.501)
Ho (0.664, 0.250, 0.499)
Ho (0.733, 0.750, 0.299)
Ho (0.865, 0.250, 0.901)

---

Model B:
PmDyHo3: relaxed, PBE-GGA.

- DOS(E_F) (states/eV/cell) = 17.110
- symmetry = P2_1/m (11)

abc: 3.621 11.564 8.500
angles: 90.00 102.28 90.00
Atoms (fractional coordinates):
Pm (0.191, 0.250, 0.383)
Pm (0.809, 0.750, 0.617)
Dy (0.483, 0.750, 0.963)
Dy (0.517, 0.250, 0.037)
Ho (0.147, 0.750, 0.291)
Ho (0.346, 0.002, 0.692)
Ho (0.346, 0.498, 0.692)
Ho (0.654, 0.502, 0.308)
Ho (0.654, 0.998, 0.308)
Ho (0.853, 0.250, 0.709)

---

Which of them is the least stable? Correct choice: model B.

---

Model A:
Pm3Dy2Ho2: relaxed, PBE-GGA.

- DOS(E_F) (states/eV/cell) = 8.701
- symmetry = C2/m (12)

abc: 6.202 6.202 10.758
angles: 95.68 95.68 33.57
Atoms (fractional coordinates):
Pm (0.000, 0.000, 0.000)
Pm (0.143, 0.143, 0.572)
Pm (0.857, 0.857, 0.428)
Dy (0.285, 0.285, 0.142)
Dy (0.715, 0.715, 0.858)
Ho (0.428, 0.428, 0.716)
Ho (0.572, 0.572, 0.284)

---

Model B:
Pm3Dy2Ho2: relaxed, PBE-GGA.

- DOS(E_F) (states/eV/cell) = 10.666
- symmetry = C2/m (12)

abc: 8.937 8.937 8.559
angles: 118.30 118.30 22.68
Atoms (fractional coordinates):
Pm (0.000, 0.000, 0.000)
Pm (0.213, 0.213, 0.300)
Pm (0.787, 0.787, 0.700)
Dy (0.435, 0.435, 0.590)
Dy (0.565, 0.565, 0.410)
Ho (0.145, 0.145, 0.825)
Ho (0.855, 0.855, 0.175)

---

Which of them is the least stable? Correct choice: model B.